(1)
! TiGaCu3 PBE-GGA relaxed; values from VASP
&SYSTEM
  ibrav = 0, nat = 5, ntyp = 3
/
ATOMIC_SPECIES
Ti 47.87 Ti.upf
Ga 69.72 Ga.upf
Cu 63.55 Cu.upf
ATOMIC_POSITIONS crystal
Ti 0.000 0.000 0.000
Ga 0.500 0.500 0.500
Cu 0.000 0.500 0.500
Cu 0.500 0.000 0.500
Cu 0.500 0.500 0.000
CELL_PARAMETERS angstrom
4.388 0.000 0.000
0.000 4.388 0.000
0.000 0.000 4.388
! Energy of formation from the pure elements   2.99 eV per formula unit
! Total moment   0.00 μB/cell
! SG   Pm-3m (221)
! Excess energy over the best structure of this formula in the dataset   0.7697 eV per atom
! Volume   16.89 Å³ per atom


(2)
! SrAs2P PBE-GGA relaxed; values from VASP
&SYSTEM
  ibrav = 0, nat = 4, ntyp = 3
/
ATOMIC_SPECIES
Sr 87.62 Sr.upf
As 74.92 As.upf
P 30.97 P.upf
ATOMIC_POSITIONS crystal
Sr 0.000 0.000 0.000
As 0.391 0.500 0.764
As 0.527 0.000 0.473
P 0.609 0.500 0.191
CELL_PARAMETERS angstrom
4.779 0.000 0.000
0.000 4.113 0.000
-1.166 0.000 5.252
! Energy of formation from the pure elements   -1.68 eV per formula unit
! Total moment   0.00 μB/cell
! SG   Pm (6)
! Volume   25.81 Å³ per atom


(3)
! ScAl2Co PBE-GGA relaxed; values from VASP
&SYSTEM
  ibrav = 0, nat = 4, ntyp = 3
/
ATOMIC_SPECIES
Sc 44.96 Sc.upf
Al 26.98 Al.upf
Co 58.93 Co.upf
ATOMIC_POSITIONS crystal
Sc 0.000 0.000 0.000
Al 0.500 0.500 0.306
Al 0.500 0.500 0.694
Co 0.000 0.000 0.500
CELL_PARAMETERS angstrom
2.940 0.000 0.000
0.000 2.940 0.000
0.000 0.000 7.117
! Energy of formation from the pure elements   -1.88 eV per formula unit
! Total moment   1.05 μB/cell
! SG   P4/mmm (123)
! Volume   15.38 Å³ per atom


(4)
! TbSc6Tl3 PBE-GGA relaxed; values from VASP
&SYSTEM
  ibrav = 0, nat = 20, ntyp = 3
/
ATOMIC_SPECIES
Tb 158.93 Tb.upf
Sc 44.96 Sc.upf
Tl 204.38 Tl.upf
ATOMIC_POSITIONS crystal
Tb 0.188 0.812 0.500
Tb 0.812 0.188 0.000
Sc 0.079 0.438 0.312
Sc 0.097 0.234 0.666
Sc 0.234 0.097 0.166
Sc 0.270 0.730 0.087
Sc 0.438 0.079 0.812
Sc 0.470 0.530 0.697
Sc 0.530 0.470 0.197
Sc 0.562 0.921 0.312
Sc 0.730 0.270 0.587
Sc 0.766 0.903 0.666
Sc 0.903 0.766 0.166
Sc 0.921 0.562 0.812
Tl 0.081 0.919 0.860
Tl 0.221 0.394 0.964
Tl 0.394 0.221 0.464
Tl 0.606 0.779 0.964
Tl 0.779 0.606 0.464
Tl 0.919 0.081 0.360
CELL_PARAMETERS angstrom
5.383 -6.021 0.000
5.383 6.021 0.000
0.000 0.000 8.068
! Energy of formation from the pure elements   -0.99 eV per formula unit
! Total moment   0.00 μB/cell
! SG   Cmc2_1 (36)
! Volume   26.15 Å³ per atom


Which of these has the highest total moment?
ScAl2Co